Entry 1:
VASP calculation (PBE-GGA) on KYZn3 after structural relaxation.

```
KYZn3
1.0
5.705 0.000 0.000
0.000 5.705 0.000
0.000 0.000 5.705
Y K Zn
1 1 3
Direct
0.000 0.000 0.000
0.500 0.500 0.500
0.500 0.000 0.000
0.000 0.500 0.000
0.000 0.000 0.500
```

**Distance to the lowest polymorph of the same formula**: 0.0 meV/atom
**E_form**: 436 meV per atom
**E**: -1.840 eV per atom



Entry 2:
VASP calculation (PBE-GGA) on KYZn3 after structural relaxation.

```
KYZn3
1.0
-3.822 -1.609 -3.243
3.564 -2.505 -2.956
-0.640 -4.342 2.908
K Zn Y
1 3 1
Direct
0.000 0.000 0.000
0.000 0.500 0.000
0.500 0.000 0.000
0.000 0.000 0.500
0.500 0.500 0.500
```

**Distance to the lowest polymorph of the same formula**: 411.5 meV/atom
**E_form**: 848 meV per atom
**E**: -1.429 eV per atom



Entry 3:
VASP calculation (PBE-GGA) on KYZn after structural relaxation.

```
KYZn
1.0
-7.775 1.070 0.640
-7.433 -1.193 -2.305
-1.120 -2.882 2.087
K Y Zn
1 1 1
Direct
0.022 0.022 0.978
0.284 0.284 0.716
0.694 0.694 0.306
```

**Distance to the lowest polymorph of the same formula**: 0.0 meV/atom
**E_form**: 95 meV per atom
**E**: -2.850 eV per atom



Entry 4:
VASP calculation (PBE-GGA) on K2YZn after structural relaxation.

```
K2YZn
1.0
-4.606 3.347 9.014
-3.331 -2.447 9.828
6.371 1.069 -8.481
Zn K Y
1 2 1
Direct
0.250 0.750 0.500
0.405 0.405 0.000
0.095 0.095 0.000
0.750 0.250 0.500
```

**E_form**: 172 meV per atom
**E**: -2.311 eV per atom



Entry 5:
VASP calculation (PBE-GGA) on K3YZn after structural relaxation.

```
K3YZn
1.0
6.399 0.000 0.000
0.000 6.399 0.000
0.000 0.000 6.399
Y K Zn
1 3 1
Direct
0.500 0.500 0.500
0.000 0.000 0.500
0.000 0.500 0.000
0.500 0.000 0.000
0.000 0.000 0.000
```

**Distance to the lowest polymorph of the same formula**: 0.0 meV/atom
**E_form**: 636 meV per atom
**E**: -1.570 eV per atom



Entry 6:
VASP calculation (PBE-GGA) on K2YZn after structural relaxation.

```
K2YZn
1.0
5.346 -0.024 0.008
3.974 3.576 0.008
2.431 0.927 9.699
Zn Y K
1 1 2
Direct
0.273 0.273 0.375
0.563 0.563 0.375
0.911 0.911 0.071
0.752 0.752 0.679
```

**E_form**: 239 meV per atom
**E**: -2.244 eV per atom



Entry 7:
VASP calculation (PBE-GGA) on K2YZn after structural relaxation.

```
K2YZn
1.0
6.755 0.000 0.000
0.000 3.714 -0.006
0.000 0.342 5.727
Zn K Y
1 2 1
Direct
0.500 0.750 0.750
0.000 0.525 0.515
0.000 0.975 0.985
0.500 0.250 0.250
```

**E_form**: 434 meV per atom
**E**: -2.050 eV per atom



Entry 8:
VASP calculation (PBE-GGA) on K2YZn after structural relaxation.

```
K2YZn
1.0
7.558 0.005 0.002
-4.597 5.999 0.002
0.857 1.738 3.179
K Zn Y
2 1 1
Direct
0.000 0.000 0.000
0.500 0.500 0.000
0.000 0.500 0.500
0.500 0.000 0.500
```

**E_form**: 448 meV per atom
**E**: -2.036 eV per atom